[1]
The following is a GGA-PBE calculation of an optimized crystal structure of ZrMoRu2Au, from Alexandria.

Summary:
total magnetic moment: 0.0 μB/f.u.
volume: 22.4 Å³/atom
DFT total energy: -6.222 eV/atom

Cell lengths 4.7818, 4.7818, 4.9045 Å; angles 90.00, 90.00, 90.00 degrees
Last column: nearest neighbours and their distance in Å.
Fractional positions:
Zr 0.0000 0.0000 0.0000  2 Au 2.45
Mo 0.5000 0.5000 0.0000  4 Zr 3.38, 8 Ru 3.42
Ru 0.0000 0.5000 0.5000  2 Au 2.39
Ru 0.5000 0.0000 0.5000  2 Au 2.39
Au 0.0000 0.0000 0.5000  4 Ru 2.39, 2 Zr 2.45



[2]
The following is a GGA-PBE calculation of an optimized crystal structure of Er4ScBi, from Alexandria.

Summary:
total magnetic moment: 0.0 μB/f.u.
volume: 33.5 Å³/atom
DFT total energy: -4.572 eV/atom

Cell lengths 5.1092, 5.1092, 7.6893 Å; angles 90.00, 90.00, 90.00 degrees
Last column: nearest neighbours and their distance in Å.
Fractional positions:
Er 0.0000 0.5000 0.2346  2 Sc 3.13, 2 Bi 3.27
Er 0.0000 0.5000 0.7654  2 Sc 3.13, 2 Bi 3.27
Er 0.5000 0.0000 0.2346  2 Sc 3.13, 2 Bi 3.27
Er 0.5000 0.0000 0.7654  2 Sc 3.13, 2 Bi 3.27
Sc 0.0000 0.0000 0.0000  8 Er 3.13
Bi 0.5000 0.5000 0.5000  8 Er 3.27



[3]
The following is a GGA-PBE calculation of an optimized crystal structure of NdAlOs2C, from Alexandria.

Summary:
total magnetic moment: 0.0 μB/f.u.
volume: 16.6 Å³/atom
DFT total energy: -8.355 eV/atom

Cell lengths 5.9106, 5.9106, 7.2807 Å; angles 90.00, 90.00, 139.30 degrees
Last column: nearest neighbours and their distance in Å.
Fractional positions:
Nd 0.0506 0.9494 0.7500  4 C 2.80, 1 Al 3.09
Nd 0.9494 0.0506 0.2500  4 C 2.80, 1 Al 3.09
Al 0.2282 0.7718 0.2500  6 Os 2.55-2.56
Al 0.7718 0.2282 0.7500  6 Os 2.55-2.56
Os 0.3334 0.6666 0.5618  1 C 1.90
Os 0.3334 0.6666 0.9382  1 C 1.90
Os 0.6666 0.3334 0.0618  1 C 1.90
Os 0.6666 0.3334 0.4382  1 C 1.90
C 0.5000 0.5000 0.0000  2 Os 1.90
C 0.5000 0.5000 0.5000  2 Os 1.90



| no. | formation energy from the elements (eV per atom) |
| --- | --- |
| 1 | 2.019 |
| 2 | 0.172 |
| 3 | -0.316 |